The following is a GGA+U calculation of crystalline NpIn2CoO8 at its relaxed geometry, from Alexandria via LeMat-Bulk.

Cell: 4.908 4.889 6.596 Å, 86.35 93.52 93.82°
Fractional positions:
Np 0.000 0.000 0.000
In 0.473 0.527 0.734
In 0.527 0.473 0.266
Co 0.000 0.000 0.500
O 0.194 0.797 0.212
O 0.691 0.701 0.000
O 0.837 0.170 0.258
O 0.806 0.203 0.788
O 0.309 0.299 0.000
O 0.163 0.830 0.742
O 0.714 0.720 0.499
O 0.286 0.280 0.501

Computed properties:
Energy in eV per atom: -6.971
SG: P-1, No. 2